No. 1
First-principles (GGA+U) data for a relaxed TlMoNF2 crystal, as listed in Alexandria.

Cell and atoms, written as CIF:
```
data_TlMoNF2
_chemical_formula_sum 'Tl1 Mo1 N1 F2'
_space_group_name_H-M_alt 'P 1'
_space_group_IT_number 1
_space_group_name_Hall 'P 1'
_cell_length_a 4.466
_cell_length_b 4.466
_cell_length_c 4.289
_cell_angle_alpha 90.00
_cell_angle_beta 90.00
_cell_angle_gamma 90.00
loop_
_atom_site_label
_atom_site_type_symbol
_atom_site_fract_x
_atom_site_fract_y
_atom_site_fract_z
_atom_site_occupancy
Tl1 Tl 0.000 0.000 0.000 1
Mo1 Mo 0.500 0.500 0.500 1
N1 N 0.000 0.000 0.500 1
F1 F 0.000 0.500 0.000 1
F2 F 0.500 0.000 0.000 1
```

Calculated values
uncorrected energy	-4.31	eV/atom
DOS at the Fermi energy	0.74	states/eV per cell
crystal system	tetragonal
calculated volume	86	Å³/cell

No. 2
First-principles (GGA+U) data for a relaxed TlMoN2F crystal, as listed in Alexandria.

Cell and atoms, written as CIF:
```
data_TlMoN2F
_chemical_formula_sum 'Tl1 Mo1 N2 F1'
_space_group_name_H-M_alt 'P 1'
_space_group_IT_number 1
_space_group_name_Hall 'P 1'
_cell_length_a 4.329
_cell_length_b 4.329
_cell_length_c 4.400
_cell_angle_alpha 90.00
_cell_angle_beta 90.00
_cell_angle_gamma 90.00
loop_
_atom_site_label
_atom_site_type_symbol
_atom_site_fract_x
_atom_site_fract_y
_atom_site_fract_z
_atom_site_occupancy
Tl1 Tl 0.000 0.000 0.000 1
Mo1 Mo 0.500 0.500 0.500 1
N1 N 0.000 0.500 0.000 1
N2 N 0.500 0.000 0.000 1
F1 F 0.000 0.000 0.500 1
```

Calculated values
uncorrected energy	-4.40	eV/atom
DOS at the Fermi energy	1.70	states/eV per cell
energy relative to the lowest polymorph listed for this composition	1234	meV per atom
crystal system	tetragonal
calculated volume	82	Å³/cell

No. 3
First-principles (GGA+U) data for a relaxed VMoN2F crystal, as listed in Alexandria.

Cell and atoms, written as CIF:
```
data_VMoN2F
_chemical_formula_sum 'V1 Mo1 N2 F1'
_space_group_name_H-M_alt 'P 1'
_space_group_IT_number 1
_space_group_name_Hall 'P 1'
_cell_length_a 3.931
_cell_length_b 3.931
_cell_length_c 3.830
_cell_angle_alpha 90.00
_cell_angle_beta 90.00
_cell_angle_gamma 90.00
loop_
_atom_site_label
_atom_site_type_symbol
_atom_site_fract_x
_atom_site_fract_y
_atom_site_fract_z
_atom_site_occupancy
V1 V 0.000 0.000 0.000 1
Mo1 Mo 0.500 0.500 0.500 1
N1 N 0.000 0.500 0.000 1
N2 N 0.500 0.000 0.000 1
F1 F 0.000 0.000 0.500 1
```

Calculated values
uncorrected energy	-6.61	eV/atom
DOS at the Fermi energy	1.69	states/eV per cell
energy relative to the lowest polymorph listed for this composition	0	meV per atom
crystal system	tetragonal
calculated volume	59	Å³/cell

No. 4
First-principles (GGA+U) data for a relaxed VMoNF2 crystal, as listed in Alexandria.

Cell and atoms, written as CIF:
```
data_VMoNF2
_chemical_formula_sum 'V1 Mo1 N1 F2'
_space_group_name_H-M_alt 'P 1'
_space_group_IT_number 1
_space_group_name_Hall 'P 1'
_cell_length_a 4.198
_cell_length_b 4.198
_cell_length_c 4.132
_cell_angle_alpha 90.00
_cell_angle_beta 90.00
_cell_angle_gamma 90.00
loop_
_atom_site_label
_atom_site_type_symbol
_atom_site_fract_x
_atom_site_fract_y
_atom_site_fract_z
_atom_site_occupancy
V1 V 0.000 0.000 0.000 1
Mo1 Mo 0.500 0.500 0.500 1
N1 N 0.500 0.500 0.000 1
F1 F 0.000 0.500 0.500 1
F2 F 0.500 0.000 0.500 1
```

Calculated values
uncorrected energy	-5.92	eV/atom
DOS at the Fermi energy	1.99	states/eV per cell
energy relative to the lowest polymorph listed for this composition	259	meV per atom
crystal system	tetragonal
calculated volume	73	Å³/cell

No. 5
First-principles (GGA+U) data for a relaxed VMoN2F crystal, as listed in Alexandria.

Cell and atoms, written as CIF:
```
data_VMoN2F
_chemical_formula_sum 'V1 Mo1 N2 F1'
_space_group_name_H-M_alt 'P 1'
_space_group_IT_number 1
_space_group_name_Hall 'P 1'
_cell_length_a 4.023
_cell_length_b 4.023
_cell_length_c 4.026
_cell_angle_alpha 90.00
_cell_angle_beta 90.00
_cell_angle_gamma 90.00
loop_
_atom_site_label
_atom_site_type_symbol
_atom_site_fract_x
_atom_site_fract_y
_atom_site_fract_z
_atom_site_occupancy
V1 V 0.000 0.000 0.000 1
Mo1 Mo 0.500 0.500 0.500 1
N1 N 0.000 0.500 0.500 1
N2 N 0.500 0.000 0.500 1
F1 F 0.500 0.500 0.000 1
```

Calculated values
uncorrected energy	-6.35	eV/atom
DOS at the Fermi energy	1.27	states/eV per cell
energy relative to the lowest polymorph listed for this composition	259	meV per atom
crystal system	tetragonal
calculated volume	65	Å³/cell

No. 6
First-principles (GGA+U) data for a relaxed VMoNF2 crystal, as listed in Alexandria.

Cell and atoms, written as CIF:
```
data_VMoNF2
_chemical_formula_sum 'V1 Mo1 N1 F2'
_space_group_name_H-M_alt 'P 1'
_space_group_IT_number 1
_space_group_name_Hall 'P 1'
_cell_length_a 3.969
_cell_length_b 3.969
_cell_length_c 4.103
_cell_angle_alpha 90.00
_cell_angle_beta 90.00
_cell_angle_gamma 90.00
loop_
_atom_site_label
_atom_site_type_symbol
_atom_site_fract_x
_atom_site_fract_y
_atom_site_fract_z
_atom_site_occupancy
V1 V 0.000 0.000 0.000 1
Mo1 Mo 0.500 0.500 0.500 1
N1 N 0.000 0.000 0.500 1
F1 F 0.000 0.500 0.000 1
F2 F 0.500 0.000 0.000 1
```

Calculated values
uncorrected energy	-6.17	eV/atom
DOS at the Fermi energy	1.81	states/eV per cell
energy relative to the lowest polymorph listed for this composition	0	meV per atom
crystal system	tetragonal
calculated volume	65	Å³/cell

No. 7
First-principles (GGA+U) data for a relaxed YMoNF2 crystal, as listed in Alexandria.

Cell and atoms, written as CIF:
```
data_YMoNF2
_chemical_formula_sum 'Y1 Mo1 N1 F2'
_space_group_name_H-M_alt 'P 1'
_space_group_IT_number 1
_space_group_name_Hall 'P 1'
_cell_length_a 4.182
_cell_length_b 4.182
_cell_length_c 4.364
_cell_angle_alpha 90.00
_cell_angle_beta 90.00
_cell_angle_gamma 90.00
loop_
_atom_site_label
_atom_site_type_symbol
_atom_site_fract_x
_atom_site_fract_y
_atom_site_fract_z
_atom_site_occupancy
Y1 Y 0.000 0.000 0.000 1
Mo1 Mo 0.500 0.500 0.500 1
N1 N 0.500 0.500 0.000 1
F1 F 0.000 0.500 0.500 1
F2 F 0.500 0.000 0.500 1
```

Calculated values
uncorrected energy	-6.30	eV/atom
DOS at the Fermi energy	2.03	states/eV per cell
energy relative to the lowest polymorph listed for this composition	241	meV per atom
crystal system	tetragonal
calculated volume	76	Å³/cell

No. 8
First-principles (GGA+U) data for a relaxed YMoN2F crystal, as listed in Alexandria.

Cell and atoms, written as CIF:
```
data_YMoN2F
_chemical_formula_sum 'Y1 Mo1 N2 F1'
_space_group_name_H-M_alt 'P 1'
_space_group_IT_number 1
_space_group_name_Hall 'P 1'
_cell_length_a 4.490
_cell_length_b 4.490
_cell_length_c 4.207
_cell_angle_alpha 90.00
_cell_angle_beta 90.00
_cell_angle_gamma 90.00
loop_
_atom_site_label
_atom_site_type_symbol
_atom_site_fract_x
_atom_site_fract_y
_atom_site_fract_z
_atom_site_occupancy
Y1 Y 0.000 0.000 0.000 1
Mo1 Mo 0.500 0.500 0.500 1
N1 N 0.000 0.500 0.000 1
N2 N 0.500 0.000 0.000 1
F1 F 0.000 0.000 0.500 1
```

Calculated values
uncorrected energy	-6.46	eV/atom
DOS at the Fermi energy	1.88	states/eV per cell
energy relative to the lowest polymorph listed for this composition	780	meV per atom
crystal system	tetragonal
calculated volume	85	Å³/cell

No. 9
First-principles (GGA+U) data for a relaxed YMoN2F crystal, as listed in Alexandria.

Cell and atoms, written as CIF:
```
data_YMoN2F
_chemical_formula_sum 'Y1 Mo1 N2 F1'
_space_group_name_H-M_alt 'P 1'
_space_group_IT_number 1
_space_group_name_Hall 'P 1'
_cell_length_a 4.122
_cell_length_b 4.122
_cell_length_c 3.995
_cell_angle_alpha 90.00
_cell_angle_beta 90.00
_cell_angle_gamma 90.00
loop_
_atom_site_label
_atom_site_type_symbol
_atom_site_fract_x
_atom_site_fract_y
_atom_site_fract_z
_atom_site_occupancy
Y1 Y 0.000 0.000 0.000 1
Mo1 Mo 0.500 0.500 0.500 1
N1 N 0.000 0.500 0.500 1
N2 N 0.500 0.000 0.500 1
F1 F 0.500 0.500 0.000 1
```

Calculated values
uncorrected energy	-7.24	eV/atom
DOS at the Fermi energy	1.13	states/eV per cell
energy relative to the lowest polymorph listed for this composition	0	meV per atom
crystal system	tetragonal
calculated volume	68	Å³/cell

No. 10
First-principles (GGA+U) data for a relaxed YMoNF2 crystal, as listed in Alexandria.

Cell and atoms, written as CIF:
```
data_YMoNF2
_chemical_formula_sum 'Y1 Mo1 N1 F2'
_space_group_name_H-M_alt 'P 1'
_space_group_IT_number 1
_space_group_name_Hall 'P 1'
_cell_length_a 4.264
_cell_length_b 4.264
_cell_length_c 4.740
_cell_angle_alpha 90.00
_cell_angle_beta 90.00
_cell_angle_gamma 90.00
loop_
_atom_site_label
_atom_site_type_symbol
_atom_site_fract_x
_atom_site_fract_y
_atom_site_fract_z
_atom_site_occupancy
Y1 Y 0.000 0.000 0.000 1
Mo1 Mo 0.500 0.500 0.500 1
N1 N 0.000 0.000 0.500 1
F1 F 0.000 0.500 0.000 1
F2 F 0.500 0.000 0.000 1
```

Calculated values
uncorrected energy	-6.55	eV/atom
DOS at the Fermi energy	0.83	states/eV per cell
energy relative to the lowest polymorph listed for this composition	0	meV per atom
crystal system	tetragonal
calculated volume	86	Å³/cell

No. 11
First-principles (GGA+U) data for a relaxed ZnMoN2F crystal, as listed in Alexandria.

Cell and atoms, written as CIF:
```
data_ZnMoN2F
_chemical_formula_sum 'Zn1 Mo1 N2 F1'
_space_group_name_H-M_alt 'P 1'
_space_group_IT_number 1
_space_group_name_Hall 'P 1'
_cell_length_a 3.977
_cell_length_b 3.977
_cell_length_c 4.109
_cell_angle_alpha 90.00
_cell_angle_beta 90.00
_cell_angle_gamma 90.00
loop_
_atom_site_label
_atom_site_type_symbol
_atom_site_fract_x
_atom_site_fract_y
_atom_site_fract_z
_atom_site_occupancy
Zn1 Zn 0.000 0.000 0.000 1
Mo1 Mo 0.500 0.500 0.500 1
N1 N 0.000 0.500 0.500 1
N2 N 0.500 0.000 0.500 1
F1 F 0.500 0.500 0.000 1
```

Calculated values
uncorrected energy	-5.18	eV/atom
DOS at the Fermi energy	3.54	states/eV per cell
energy relative to the lowest polymorph listed for this composition	0	meV per atom
crystal system	tetragonal
calculated volume	65	Å³/cell

No. 12
First-principles (GGA+U) data for a relaxed ZnMoN2F crystal, as listed in Alexandria.

Cell and atoms, written as CIF:
```
data_ZnMoN2F
_chemical_formula_sum 'Zn1 Mo1 N2 F1'
_space_group_name_H-M_alt 'P 1'
_space_group_IT_number 1
_space_group_name_Hall 'P 1'
_cell_length_a 3.929
_cell_length_b 3.929
_cell_length_c 3.835
_cell_angle_alpha 90.00
_cell_angle_beta 90.00
_cell_angle_gamma 90.00
loop_
_atom_site_label
_atom_site_type_symbol
_atom_site_fract_x
_atom_site_fract_y
_atom_site_fract_z
_atom_site_occupancy
Zn1 Zn 0.000 0.000 0.000 1
Mo1 Mo 0.500 0.500 0.500 1
N1 N 0.000 0.500 0.000 1
N2 N 0.500 0.000 0.000 1
F1 F 0.000 0.000 0.500 1
```

Calculated values
uncorrected energy	-4.70	eV/atom
DOS at the Fermi energy	2.38	states/eV per cell
energy relative to the lowest polymorph listed for this composition	489	meV per atom
crystal system	tetragonal
calculated volume	59	Å³/cell